Here is a relaxed KLiBC2 crystal from Alexandria via LeMat-Bulk. Energies are from PBE.

## Properties
As for the magnetization: 0.0 μB per formula unit. As for the total energy: -3.84 eV/atom. The space-group type is No. 123. The calculation puts the formation energy at 1.791 eV/atom.

Cell and atoms, written as extended XYZ:
```
5
Lattice="3.4625 0.0000 0.0000 0.0000 3.4625 0.0000 0.0000 0.0000 4.8351" Properties=species:S:1:pos:R:3 pbc="T T T"
K 0.0000 0.0000 0.0000
Li 1.7313 1.7313 0.0000
B 0.0000 0.0000 2.4176
C 0.0000 1.7313 2.4176
C 1.7313 0.0000 2.4176
```

=====

Here is a relaxed Cr4FeCl crystal from Alexandria via LeMat-Bulk. Energies are from PBE.

## Properties
As for the magnetization: 2.5 μB per formula unit. As for the total energy: -7.27 eV/atom. The space-group type is No. 216. The energy relative to the elements, uncorrected comes out at 0.86 eV/atom.

Cell and atoms, written as extended XYZ:
```
6
Lattice="0.0000 3.3955 3.3955 3.3955 0.0000 3.3955 3.3955 3.3955 0.0000" Properties=species:S:1:pos:R:3 pbc="T T T"
Cr 0.8454 0.8454 0.8454
Cr 2.5501 2.5501 0.8454
Cr 2.5501 0.8454 2.5501
Cr 0.8454 2.5501 2.5501
Fe 5.0933 5.0933 5.0933
Cl 3.3955 3.3955 3.3955
```

=====

Here is a relaxed LaY2InS crystal from Alexandria via LeMat-Bulk. Energies are from PBE.

## Properties
As for the magnetization: 0.0 μB per formula unit. As for the total energy: -5.85 eV/atom. The space-group type is No. 123. The energy relative to the elements, uncorrected comes out at -0.91 eV/atom.

Cell and atoms, written as extended XYZ:
```
5
Lattice="5.2090 0.0000 0.0000 0.0000 5.2090 0.0000 0.0000 0.0000 5.4618" Properties=species:S:1:pos:R:3 pbc="T T T"
La 0.0000 0.0000 0.0000
Y 0.0000 2.6045 2.7309
Y 2.6045 0.0000 2.7309
In 2.6045 2.6045 0.0000
S 0.0000 0.0000 2.7309
```

=====

Here is a relaxed CaMn2Re crystal from Alexandria via LeMat-Bulk. Energies are from PBE.

## Properties
As for the energy above the most stable polymorph in this dataset: 474.0 meV/atom. As for the magnetization: 5.4 μB per formula unit. As for the total energy: -7.35 eV/atom. The space-group type is No. 119. The calculation puts the formation energy at 0.847 eV/atom.

Cell and atoms, written as extended XYZ:
```
4
Lattice="-1.9265 1.9265 4.4724 1.9265 -1.9265 4.4724 1.9265 1.9265 -4.4724" Properties=species:S:1:pos:R:3 pbc="T T T"
Ca 0.0000 0.0000 0.0000
Mn 1.9265 0.0000 2.2362
Mn 0.0000 0.0000 4.4724
Re 0.0000 1.9265 2.2362
```

=====

Here is a relaxed Zr2BiB crystal from Alexandria via LeMat-Bulk. Energies are from PBE.

## Properties
As for the energy above the most stable polymorph in this dataset: 0.0 meV/atom. As for the magnetization: 0.0 μB per formula unit. As for the total energy: -7.43 eV/atom. The space-group type is No. 166. The calculation puts the formation energy at -0.514 eV/atom.

Cell and atoms, written as extended XYZ:
```
4
Lattice="1.7828 1.0293 7.3602 -1.7828 1.0293 7.3602 0.0000 -2.0586 7.3602" Properties=species:S:1:pos:R:3 pbc="T T T"
Zr 0.0000 0.0000 4.9363
Zr 0.0000 0.0000 17.1443
Bi 0.0000 0.0000 0.0000
B 0.0000 0.0000 11.0403
```

=====

Here is a relaxed Na2CrCl crystal from Alexandria via LeMat-Bulk. Energies are from PBE.

## Properties
As for the energy above the most stable polymorph in this dataset: 312.6 meV/atom. As for the magnetization: 5.0 μB per formula unit. As for the total energy: -3.73 eV/atom. The space-group type is No. 44. The energy relative to the elements, uncorrected comes out at -0.20 eV/atom.

Cell and atoms, written as extended XYZ:
```
4
Lattice="-1.7051 1.7344 8.8007 1.7051 -1.7344 8.8007 1.7051 1.7344 -8.8007" Properties=species:S:1:pos:R:3 pbc="T T T"
Na 0.0000 0.0000 0.0000
Na 0.0000 1.7344 3.5389
Cr 1.7051 0.0000 5.8748
Cl 0.0000 0.0000 10.1285
```

=====

Here is a relaxed Ac2Y4Ho3 crystal from Alexandria via LeMat-Bulk. Energies are from PBE.

## Properties
As for the magnetization: 0.0 μB per formula unit. As for the total energy: -5.13 eV/atom. The space-group type is No. 69. The calculation puts the formation energy at 0.179 eV/atom.

Cell and atoms, written as extended XYZ:
```
9
Lattice="0.0000 6.2374 8.2326 3.1020 0.0000 8.2326 3.1020 6.2374 0.0000" Properties=species:S:1:pos:R:3 pbc="T T T"
Ac 3.1020 6.2374 1.8972
Ac 3.1020 6.2374 14.5680
Y 3.1020 4.4148 5.1589
Y 3.1020 8.0600 5.1589
Y 3.1020 4.4148 11.3063
Y 3.1020 8.0600 11.3063
Ho 1.5510 3.1187 0.0000
Ho 1.5510 3.1187 8.2326
Ho 3.1020 6.2374 8.2326
```

=====

Here is a relaxed SiHg2Ir crystal from Alexandria via LeMat-Bulk. Energies are from PBE.

## Properties
As for the magnetization: 0.0 μB per formula unit. As for the total energy: -3.20 eV/atom. The space-group type is No. 123. The energy relative to the elements, uncorrected comes out at 0.53 eV/atom.

Cell and atoms, written as extended XYZ:
```
4
Lattice="3.7511 0.0000 0.0000 0.0000 3.7511 0.0000 0.0000 0.0000 5.2741" Properties=species:S:1:pos:R:3 pbc="T T T"
Si 0.0000 0.0000 0.0000
Hg 1.8755 1.8755 1.3244
Hg 1.8755 1.8755 3.9497
Ir 0.0000 0.0000 2.6371
```

=====

Here is a relaxed LiZnSb2 crystal from Alexandria via LeMat-Bulk. Energies are from PBE.

## Properties
As for the magnetization: 0.0 μB per formula unit. As for the total energy: -2.95 eV/atom. The space-group type is No. 25. The energy relative to the elements, uncorrected comes out at -0.09 eV/atom.

Cell and atoms, written as extended XYZ:
```
4
Lattice="3.0363 0.0000 0.0000 0.0000 4.1013 0.0000 0.0000 0.0000 7.6617" Properties=species:S:1:pos:R:3 pbc="T T T"
Li 0.0000 0.0000 0.0000
Zn 1.5182 2.0507 6.2600
Sb 0.0000 0.0000 4.7457
Sb 1.5182 2.0507 1.3583
```

=====

Here is a relaxed RePt3 crystal from Alexandria via LeMat-Bulk. Energies are from PBE.

## Properties
As for the magnetization: 0.0 μB per formula unit. As for the total energy: -7.45 eV/atom. The space-group type is No. 223. The calculation puts the formation energy at 0.194 eV/atom.

Cell and atoms, written as extended XYZ:
```
8
Lattice="5.0235 0.0000 0.0000 0.0000 5.0235 0.0000 0.0000 0.0000 5.0235" Properties=species:S:1:pos:R:3 pbc="T T T"
Re 0.0000 0.0000 0.0000
Re 2.5117 2.5117 2.5117
Pt 0.0000 1.2559 2.5117
Pt 0.0000 3.7676 2.5117
Pt 1.2559 2.5117 0.0000
Pt 2.5117 0.0000 1.2559
Pt 2.5117 0.0000 3.7676
Pt 3.7676 2.5117 0.0000
```

=====

Here is a relaxed CsHoI2O8 crystal from Alexandria via LeMat-Bulk. Energies are from PBE.

## Properties
As for the magnetization: 2.0 μB per formula unit. As for the total energy: -5.10 eV/atom. The space-group type is No. 148. The energy relative to the elements, uncorrected comes out at -1.08 eV/atom.

Cell and atoms, written as extended XYZ:
```
12
Lattice="2.9822 1.7217 8.3290 -2.9822 1.7217 8.3290 0.0000 -3.4435 8.3290" Properties=species:S:1:pos:R:3 pbc="T T T"
Cs 0.0000 0.0000 0.0000
Ho 0.0000 0.0000 12.4934
I 0.0000 0.0000 5.7387
I 0.0000 0.0000 19.2482
O -1.1040 -1.4866 11.1962
O -1.8394 0.2128 13.7907
O 0.0000 0.0000 7.5280
O -0.7354 1.6994 11.1962
O 0.7354 -1.6994 13.7907
O 0.0000 0.0000 17.4588
O 1.8394 -0.2128 11.1962
O 1.1040 1.4865 13.7907
```

=====

Here is a relaxed GePtO2 crystal from Alexandria via LeMat-Bulk. Energies are from PBE.

## Properties
As for the magnetization: 0.0 μB per formula unit. As for the total energy: -5.79 eV/atom. The space-group type is No. 166. The energy relative to the elements, uncorrected comes out at -0.64 eV/atom.

Cell and atoms, written as extended XYZ:
```
4
Lattice="1.5109 0.8723 6.2868 -1.5109 0.8723 6.2868 0.0000 -1.7446 6.2868" Properties=species:S:1:pos:R:3 pbc="T T T"
Ge 0.0000 0.0000 0.0000
Pt 0.0000 0.0000 9.4301
O 0.0000 0.0000 7.3770
O 0.0000 0.0000 11.4833
```

=====

Here is a relaxed BaCuTe2O8 crystal from Alexandria via LeMat-Bulk. Energies are from PBE.

## Properties
As for the magnetization: 1.0 μB per formula unit. As for the total energy: -5.32 eV/atom. The space-group type is No. 10. The energy relative to the elements, uncorrected comes out at -0.99 eV/atom.

Cell and atoms, written as extended XYZ:
```
12
Lattice="5.3066 0.0000 0.0000 0.0000 6.4178 0.0000 -0.8295 0.0000 5.2451" Properties=species:S:1:pos:R:3 pbc="T T T"
Ba 0.0000 0.0000 0.0000
Cu 0.0000 3.2089 0.0000
Te 2.2386 1.7011 2.6225
Te 2.2386 4.7167 2.6225
O 0.8392 1.8485 1.3356
O 0.8392 4.5692 1.3356
O 1.3197 3.2089 3.6303
O 1.4060 0.0000 3.5505
O 3.0711 0.0000 1.6945
O 3.1574 3.2089 1.6148
O 3.6380 1.8485 3.9095
O 3.6380 4.5692 3.9095
```

=====

V list, top to bottom, in Å³/cell: 58, 78, 148, 66, 81, 104, 319, 74, 95, 127, 257, 50, 179